# Pu4SeS5 (PBE-GGA, optimized geometry)
# V   543.76 Å³/cell
# Mass density   7.42 Mg/m³
# Raw total energy   -9.664 eV/atom
# Raw formation energy   -1.520 eV per atom
# DOS(E_F)   85.9 states/eV per cell
data_Pu4SeS5
_symmetry_space_group_name_H-M 'C 1 2/m 1'
_symmetry_Int_Tables_number 12
_cell_length_a 17.4273
_cell_length_b 4.0300
_cell_length_c 8.1257
_cell_angle_alpha 90.00
_cell_angle_beta 107.67
_cell_angle_gamma 90.00
loop_
_symmetry_equiv_pos_as_xyz
'x,y,z'
'-x,-y,-z'
'-x,y,-z'
'x,-y,z'
'x+1/2,y+1/2,z'
'-x+1/2,-y+1/2,-z'
'-x+1/2,y+1/2,-z'
'x+1/2,-y+1/2,z'
loop_
_atom_site_label
_atom_site_fract_x
_atom_site_fract_y
_atom_site_fract_z
Pu1 0.0035 0.0000 0.2700
Pu2 0.1806 0.5000 0.1218
Se1 0.0000 0.5000 0.0000
S1 0.0000 0.5000 0.5000
S2 0.1637 0.0000 0.8813
S3 0.1649 0.0000 0.3286

---

# Pu3Se2S2 (PBE-GGA, optimized geometry)
# V   397.22 Å³/cell
# Mass density   7.98 Mg/m³
# Raw total energy   -9.880 eV/atom
# Raw formation energy   -1.563 eV per atom
# DOS(E_F)   52.4 states/eV per cell
data_Pu3Se2S2
_symmetry_space_group_name_H-M 'C 1 2/m 1'
_symmetry_Int_Tables_number 12
_cell_length_a 15.0485
_cell_length_b 4.1504
_cell_length_c 7.1387
_cell_angle_alpha 90.00
_cell_angle_beta 117.01
_cell_angle_gamma 90.00
loop_
_symmetry_equiv_pos_as_xyz
'x,y,z'
'-x,-y,-z'
'-x,y,-z'
'x,-y,z'
'x+1/2,y+1/2,z'
'-x+1/2,-y+1/2,-z'
'-x+1/2,y+1/2,-z'
'x+1/2,-y+1/2,z'
loop_
_atom_site_label
_atom_site_fract_x
_atom_site_fract_y
_atom_site_fract_z
Pu1 0.0000 0.0000 0.0000
Pu2 0.2235 0.5000 0.7382
Se1 0.1354 0.5000 0.2795
S1 0.1359 0.0000 0.8386

---

# Pu6Se5S (PBE-GGA, optimized geometry)
# V   596.55 Å³/cell
# Mass density   10.53 Mg/m³
# Raw total energy   -10.520 eV/atom
# Raw formation energy   -1.558 eV per atom
# DOS(E_F)   108.1 states/eV per cell
data_Pu6Se5S
_symmetry_space_group_name_H-M 'C 1 2/m 1'
_symmetry_Int_Tables_number 12
_cell_length_a 7.1474
_cell_length_b 12.3849
_cell_length_c 7.1492
_cell_angle_alpha 90.00
_cell_angle_beta 109.50
_cell_angle_gamma 90.00
loop_
_symmetry_equiv_pos_as_xyz
'x,y,z'
'-x,-y,-z'
'-x,y,-z'
'x,-y,z'
'x+1/2,y+1/2,z'
'-x+1/2,-y+1/2,-z'
'-x+1/2,y+1/2,-z'
'x+1/2,-y+1/2,z'
loop_
_atom_site_label
_atom_site_fract_x
_atom_site_fract_y
_atom_site_fract_z
Pu1 0.2415 0.0000 0.2538
Pu2 0.2431 0.1620 0.7438
Se1 0.0000 0.1705 0.0000
Se2 0.0000 0.3340 0.5000
Se3 0.0000 0.5000 0.0000
S1 0.0000 0.0000 0.5000

---

# Pu8Se5S3 (PBE-GGA, optimized geometry)
# V   1154.79 Å³/cell
# Mass density   10.54 Mg/m³
# Raw total energy   -10.632 eV/atom
# Raw formation energy   -1.603 eV per atom
# DOS(E_F)   213.5 states/eV per cell
data_Pu8Se5S3
_symmetry_space_group_name_H-M 'R -3 m'
_symmetry_Int_Tables_number 166
_symmetry_space_group_name_Hall '-R 3 2"'
_cell_length_a 8.1609
_cell_length_b 8.1609
_cell_length_c 20.0215
_cell_angle_alpha 90.00
_cell_angle_beta 90.00
_cell_angle_gamma 120.00
loop_
_atom_site_label
_atom_site_fract_x
_atom_site_fract_y
_atom_site_fract_z
Pu1 0.0000 0.0000 0.2449
Pu2 0.0071 0.5035 0.7535
Se1 0.0000 0.0000 0.0000
Se2 0.0000 0.0000 0.5000
Se3 0.0000 0.5000 0.0000
S1 0.0000 0.5000 0.5000